# NdGa

NdGa after structural relaxation (PBE, the Open Quantum Materials Database).

Geometry as POSCAR:
```
NdGa
1.0
-1.3689 3.1137 -1.1199
0.0318 -2.8328 -2.1901
-4.2868 -1.3015 1.6213
Nd Ga
1 1
direct
0.3333 0.6667 0.2500
0.6667 0.3333 0.7500
```

Results
* M_tot: 0.0 μB/cell
* DFT total energy: -4.174 eV/atom
* space-group type: P-6m2

# Hf8Si2C3N3

Hf8Si2C3N3 after structural relaxation (PBE, the Open Quantum Materials Database).

Geometry as POSCAR:
```
Hf8Si2C3N3
1.0
3.2477 0.0000 0.0000
-1.6239 2.8126 0.0000
0.0000 0.0000 23.8485
Hf N C Si
8 3 3 2
direct
0.0000 0.0000 0.3350
0.3333 0.6667 0.5550
0.6667 0.3333 0.0560
0.0000 0.0000 0.8383
0.0000 0.0000 0.6650
0.0000 0.0000 0.1617
0.6667 0.3333 0.4450
0.3333 0.6667 0.9440
0.3333 0.6667 0.1086
0.0000 0.0000 0.0000
0.6667 0.3333 0.8914
0.0000 0.0000 0.5000
0.3333 0.6667 0.3859
0.6667 0.3333 0.6141
0.6667 0.3333 0.2484
0.3333 0.6667 0.7516
```

Results
* M_tot: 0.0 μB/cell
* DFT total energy: -10.104 eV/atom
* space-group type: P-3m1

# Li2Zn2CdGaAu2

Li2Zn2CdGaAu2 after structural relaxation (PBE, the Open Quantum Materials Database).

Geometry as POSCAR:
```
Li2Zn2CdGaAu2
1.0
-4.3685 1.0052 -0.2003
-0.9355 -3.5520 2.5772
0.5969 3.6356 5.2273
Li Zn Ga Au Cd
2 2 1 2 1
direct
0.0000 0.5000 0.7400
0.5000 0.0000 0.2600
0.0000 0.0000 0.5000
0.5000 0.5000 0.0000
0.5000 0.5000 0.5000
0.0000 0.5000 0.2681
0.5000 0.0000 0.7319
0.0000 0.0000 0.0000
```

Results
* DFT total energy: -2.448 eV/atom
* space-group type: P-4m2

# Mo2AsW

Mo2AsW after structural relaxation (PBE, the Open Quantum Materials Database).

Geometry as POSCAR:
```
Mo2AsW
1.0
0.0000 3.1520 3.1520
3.1520 0.0000 3.1520
3.1520 3.1520 0.0000
As Mo W
1 2 1
direct
0.5000 0.5000 0.5000
0.0000 0.0000 0.0000
0.7500 0.7500 0.7500
0.2500 0.2500 0.2500
```

Results
* M_tot: 0.0 μB/cell
* DFT total energy: -9.466 eV/atom
* space-group type: F-43m

# Li2Sn2PtAu

Li2Sn2PtAu after structural relaxation (PBE, the Open Quantum Materials Database).

Geometry as POSCAR:
```
Li2Sn2PtAu
1.0
-2.5662 -2.5782 2.9512
3.6198 -1.9332 -2.2588
3.5609 1.5092 4.4148
Pt Li Au Sn
1 2 1 2
direct
0.3333 0.6667 0.5000
0.6667 0.3333 0.2549
0.6667 0.3333 0.7451
0.0000 0.0000 0.0000
0.0000 0.0000 0.5000
0.3333 0.6667 0.0000
```

Results
* M_tot: 0.0 μB/cell
* DFT total energy: -4.061 eV/atom
* space-group type: P-6m2

# BaSrZnS3

BaSrZnS3 after structural relaxation (PBE, the Open Quantum Materials Database).

Geometry as POSCAR:
```
BaSrZnS3
1.0
9.1434 0.0000 0.0000
0.0000 4.2153 0.0000
0.0000 0.0000 16.1798
S Ba Zn Sr
12 4 4 4
direct
0.5042 0.7500 0.6016
0.8151 0.7500 0.2777
0.6482 0.7500 0.0591
0.8518 0.2500 0.5591
0.0042 0.7500 0.8984
0.3518 0.2500 0.9409
0.1482 0.7500 0.4409
0.9958 0.2500 0.1016
0.3151 0.7500 0.2223
0.1849 0.2500 0.7223
0.6849 0.2500 0.7777
0.4958 0.2500 0.3984
0.4236 0.7500 0.7952
0.0764 0.2500 0.2952
0.5764 0.2500 0.2048
0.9236 0.7500 0.7048
0.3653 0.7500 0.3652
0.8653 0.7500 0.1348
0.6347 0.2500 0.6348
0.1347 0.2500 0.8652
0.2784 0.2500 0.5436
0.7784 0.2500 0.9564
0.2216 0.7500 0.0436
0.7216 0.7500 0.4564
```

Results
* ΔE to the lowest computed polymorph: 13 meV/atom
* DFT total energy: -4.530 eV/atom
* space-group type: Pnma

# Ge3Pd4Pb

Ge3Pd4Pb after structural relaxation (PBE, the Open Quantum Materials Database).

Geometry as POSCAR:
```
Ge3Pd4Pb
1.0
-1.3204 2.8238 5.1829
-3.3342 -1.5874 0.0154
2.3930 -4.9938 3.3205
Pb Ge Pd
1 3 4
direct
0.6879 0.5000 0.5898
0.8066 0.0000 0.0798
0.3026 0.0000 0.4023
0.1865 0.5000 0.9199
0.0272 0.0000 0.6934
0.0139 0.5000 0.2880
0.4981 0.5000 0.1868
0.4772 0.0000 0.8399
```

Results
* DFT total energy: -5.163 eV/atom
* space-group type: Pm

# ZnFeAgGe

ZnFeAgGe after structural relaxation (PBE, the Open Quantum Materials Database).

Geometry as POSCAR:
```
ZnFeAgGe
1.0
0.0000 3.1257 3.1257
3.1257 0.0000 3.1257
3.1257 3.1257 0.0000
Zn Fe Ge Ag
1 1 1 1
direct
0.2500 0.2500 0.2500
0.7500 0.7500 0.7500
0.0000 0.0000 0.0000
0.5000 0.5000 0.5000
```

Results
* ΔE to the lowest computed polymorph: 50 meV/atom
* M_tot: 2.3 μB/cell
* DFT total energy: -3.986 eV/atom
* space-group type: F-43m

# Cs2YErS4

Cs2YErS4 after structural relaxation (PBE, the Open Quantum Materials Database).

Geometry as POSCAR:
```
Cs2YErS4
1.0
4.0796 0.0000 0.0000
-2.0398 3.5330 0.0000
0.0000 0.0000 16.0670
S Cs Er Y
4 2 1 1
direct
0.6667 0.3333 0.4081
0.3333 0.6667 0.5919
0.6667 0.3333 0.0902
0.3333 0.6667 0.9098
0.6667 0.3333 0.7501
0.3333 0.6667 0.2499
0.0000 0.0000 0.0000
0.0000 0.0000 0.5000
```

Results
* M_tot: 0.0 μB/cell
* DFT total energy: -5.491 eV/atom
* space-group type: P-3m1

# FeHgI4

FeHgI4 after structural relaxation (PBE, the Open Quantum Materials Database).

Geometry as POSCAR:
```
FeHgI4
1.0
4.3805 0.0000 0.0000
0.0000 4.3805 0.0000
0.0000 0.0000 13.1975
I Hg Fe
4 1 1
direct
0.0000 0.5000 0.1130
0.0000 0.5000 0.6391
0.5000 0.0000 0.8870
0.5000 0.0000 0.3609
0.5000 0.5000 0.5000
0.0000 0.0000 0.0000
```

Results
* M_tot: 4.0 μB/cell
* DFT total energy: -2.661 eV/atom
* space-group type: P-4m2

# Li2GaIrSe4

Li2GaIrSe4 after structural relaxation (PBE, the Open Quantum Materials Database).

Geometry as POSCAR:
```
Li2GaIrSe4
1.0
-2.9540 2.9540 5.4785
2.9540 -2.9540 5.4785
2.9540 2.9540 -5.4785
Se Ir Li Ga
4 1 2 1
direct
0.3758 0.8605 0.9798
0.1395 0.1193 0.5153
0.6040 0.6242 0.4847
0.8807 0.3960 0.0202
0.2500 0.7500 0.5000
0.7500 0.2500 0.5000
0.0000 0.0000 0.0000
0.5000 0.5000 0.0000
```

Results
* M_tot: 0.8 μB/cell
* DFT total energy: -4.194 eV/atom
* space-group type: I-4

# AsPdS6

AsPdS6 after structural relaxation (PBE, the Open Quantum Materials Database).

Geometry as POSCAR:
```
AsPdS6
1.0
0.0000 4.3083 4.3083
4.3083 0.0000 4.3083
4.3083 4.3083 0.0000
S Pd As
6 1 1
direct
0.9720 0.5280 0.5280
0.5280 0.9720 0.5280
0.5280 0.9720 0.9720
0.9720 0.9720 0.5280
0.5280 0.5280 0.9720
0.9720 0.5280 0.9720
0.2500 0.2500 0.2500
0.0000 0.0000 0.0000
```

Results
* DFT total energy: -3.536 eV/atom
* space-group type: F-43m

Question: DFT total energy of number 6 (BaSrZnS3)?
Answer: -4.530 eV/atom

Question: Number 6 is which compound?
Answer: BaSrZnS3

Question: Which formula does entry 12 have?
Answer: AsPdS6